Here is crystalline Sm5Pb4N at its relaxed geometry from Alexandria via LeMat-Bulk. Energies are from PBE.

Values from the calculation:
crystal system: tetragonal
M_tot: 0.00 μB/atom
raw formation energy: -560 meV/atom

Lattice parameters (Å, degrees): 6.256 7.477 7.477 79.92 65.27 65.27
Fractional positions:
1 N 0.059 0.000 0.000
2 Pb 0.170 0.273 0.395
3 Pb 0.443 0.395 0.727
4 Pb 0.838 0.727 0.605
5 Pb 0.565 0.605 0.273
6 Sm 0.228 0.881 0.659
7 Sm 0.887 0.341 0.881
8 Sm 0.768 0.119 0.341
9 Sm 0.442 0.000 0.000
10 Sm 0.109 0.659 0.119

Here is crystalline Bi3SbRh at its relaxed geometry from Alexandria via LeMat-Bulk. Energies are from PBE.

Values from the calculation:
crystal system: cubic
M_tot: 0.00 μB/atom
raw formation energy: 305 meV/atom

Lattice parameters (Å, degrees): 5.338 5.338 5.338 90.00 90.00 90.00
Fractional positions:
1 Sb 0.500 0.500 0.500
2 Bi 0.000 0.500 0.000
3 Bi 0.500 0.000 0.000
4 Bi 0.000 0.000 0.500
5 Rh 0.000 0.000 0.000

Here is crystalline Pm2HgAs3Pd4 at its relaxed geometry from Alexandria via LeMat-Bulk. Energies are from PBE.

Values from the calculation:
crystal system: tetragonal
M_tot: 0.00 μB/atom
electronic total energy: -52.12 eV per formula unit

Lattice parameters (Å, degrees): 4.218 4.218 11.235 90.00 90.00 90.00
Fractional positions:
1 Pd 0.000 0.500 0.346
2 Pd 0.000 0.000 0.000
3 Pd 0.500 0.500 0.000
4 Pd 0.500 0.000 0.654
5 Pm 0.500 0.000 0.229
6 Pm 0.000 0.500 0.771
7 As 0.000 0.500 0.131
8 As 0.000 0.000 0.500
9 As 0.500 0.000 0.869
10 Hg 0.500 0.500 0.500

Here is crystalline CaNpIrRu at its relaxed geometry from Alexandria via LeMat-Bulk. Energies are from PBE.

Values from the calculation:
crystal system: cubic
M_tot: 0.73 μB/atom
electronic total energy: -33.41 eV per formula unit

Lattice parameters (Å, degrees): 4.780 4.780 4.780 60.00 60.00 60.00
Last column: magnetic moment on the atom in μB.
Fractional positions:
1 Ca 0.000 0.000 0.000  0.02
2 Ru 0.250 0.250 0.250  -0.44
3 Np 0.500 0.500 0.500  3.36
4 Ir 0.750 0.750 0.750  -0.23

Here is crystalline Tm2ZrPb2 at its relaxed geometry from Alexandria via LeMat-Bulk. Energies are from PBE.

Values from the calculation:
crystal system: orthorhombic
M_tot: 0.00 μB/atom
electronic total energy: -26.12 eV per formula unit

Lattice parameters (Å, degrees): 4.527 6.323 9.902 90.00 90.00 90.00
Fractional positions:
1 Zr 0.000 0.000 0.000
2 Zr 0.000 0.500 0.000
3 Pb 0.500 0.750 0.875
4 Pb 0.500 0.250 0.125
5 Pb 0.500 0.000 0.500
6 Pb 0.500 0.500 0.500
7 Tm 0.500 0.250 0.777
8 Tm 0.000 0.250 0.350
9 Tm 0.000 0.750 0.650
10 Tm 0.500 0.750 0.223

Here is crystalline Ho5Cd2Ru2Pt at its relaxed geometry from Alexandria via LeMat-Bulk. Energies are from PBE.

Values from the calculation:
crystal system: tetragonal
M_tot: 0.00 μB/atom
electronic total energy: -53.94 eV per formula unit

Lattice parameters (Å, degrees): 3.490 11.644 11.644 90.00 90.00 90.00
Fractional positions:
1 Ho 0.500 0.931 0.197
2 Ho 0.500 0.069 0.803
3 Ho 0.500 0.569 0.697
4 Ho 0.500 0.500 0.000
5 Ho 0.500 0.803 0.931
6 Ho 0.500 0.697 0.431
7 Ho 0.500 0.000 0.500
8 Ho 0.500 0.303 0.569
9 Ho 0.500 0.197 0.069
10 Ho 0.500 0.431 0.303
11 Cd 0.000 0.679 0.179
12 Cd 0.000 0.321 0.821
13 Cd 0.000 0.179 0.321
14 Cd 0.000 0.821 0.679
15 Pt 0.000 0.500 0.500
16 Pt 0.000 0.000 0.000
17 Ru 0.000 0.134 0.634
18 Ru 0.000 0.866 0.366
19 Ru 0.000 0.634 0.866
20 Ru 0.000 0.366 0.134

Here is crystalline LiLuPdRh at its relaxed geometry from Alexandria via LeMat-Bulk. Energies are from PBE.

Values from the calculation:
crystal system: cubic
M_tot: 0.00 μB/atom
electronic total energy: -21.75 eV per formula unit

Lattice parameters (Å, degrees): 4.538 4.538 4.538 60.00 60.00 60.00
Fractional positions:
1 Pd 0.500 0.500 0.500
2 Lu 0.750 0.750 0.750
3 Li 0.250 0.250 0.250
4 Rh 0.000 0.000 0.000

Here is crystalline Sr2BeCl at its relaxed geometry from Alexandria via LeMat-Bulk. Energies are from PBE.

Values from the calculation:
crystal system: orthorhombic
M_tot: 0.24 μB/atom
raw formation energy: -330 meV/atom

Lattice parameters (Å, degrees): 5.849 5.849 5.849 134.34 111.31 86.42
Last column: magnetic moment on the atom in μB.
Fractional positions:
1 Sr 0.516 0.516 0.000  0.06
2 Sr 0.984 0.984 0.000  0.06
3 Be 0.250 0.750 0.500  0.11
4 Cl 0.750 0.250 0.500  0.01

Here is crystalline Ca2HgPbO5 at its relaxed geometry from Alexandria via LeMat-Bulk. Energies are from PBE.

Values from the calculation:
crystal system: orthorhombic
M_tot: 0.00 μB/atom
raw formation energy: -1636 meV/atom

Lattice parameters (Å, degrees): 3.400 7.001 12.265 90.00 90.00 104.05
Fractional positions:
1 Pb 0.754 0.507 0.525
2 Pb 0.246 0.493 0.025
3 O 0.749 0.497 0.163
4 O 0.251 0.503 0.663
5 O 0.399 0.798 0.051
6 O 0.527 0.054 0.268
7 O 0.089 0.178 0.052
8 O 0.473 0.946 0.768
9 O 0.911 0.822 0.552
10 O 0.741 0.482 0.908
11 O 0.601 0.202 0.551
12 O 0.259 0.518 0.408
13 Hg 0.466 0.931 0.431
14 Hg 0.534 0.069 0.931
15 Ca 0.068 0.136 0.668
16 Ca 0.845 0.690 0.758
17 Ca 0.155 0.310 0.258
18 Ca 0.932 0.864 0.168

Here is crystalline Ni6Ag at its relaxed geometry from Alexandria via LeMat-Bulk. Energies are from PBE.

Values from the calculation:
crystal system: cubic
M_tot: 0.66 μB/atom
electronic total energy: -30.73 eV per formula unit

Lattice parameters (Å, degrees): 5.358 5.358 5.358 109.47 109.47 109.47
Last column: magnetic moment on the atom in μB.
Fractional positions:
1 Ni 0.250 0.750 0.500  0.81
2 Ni 0.750 0.250 0.500  0.81
3 Ni 0.500 0.750 0.250  0.81
4 Ni 0.750 0.500 0.250  0.81
5 Ni 0.250 0.500 0.750  0.81
6 Ni 0.500 0.250 0.750  0.81
7 Ag 0.000 0.000 0.000  -0.01

Here is crystalline Na6Cd5Hg at its relaxed geometry from Alexandria via LeMat-Bulk. Energies are from PBE.

Values from the calculation:
crystal system: monoclinic
M_tot: 0.00 μB/atom
electronic total energy: -13.97 eV per formula unit

Lattice parameters (Å, degrees): 4.713 8.775 8.775 106.03 105.47 105.47
Fractional positions:
1 Na 0.245 0.410 0.080
2 Na 0.755 0.590 0.920
3 Na 0.755 0.920 0.590
4 Na 0.245 0.080 0.410
5 Na 0.261 0.760 0.760
6 Na 0.739 0.240 0.240
7 Cd 0.000 0.662 0.338
8 Cd 0.500 0.176 0.824
9 Cd 0.000 0.338 0.662
10 Cd 0.500 0.500 0.500
11 Cd 0.500 0.824 0.176
12 Hg 0.000 0.000 0.000

Here is crystalline NbAg at its relaxed geometry from Alexandria via LeMat-Bulk. Energies are from PBE.

Values from the calculation:
crystal system: tetragonal
M_tot: 0.00 μB/atom
electronic total energy: -11.10 eV per formula unit

Lattice parameters (Å, degrees): 5.373 5.373 5.672 90.00 90.00 90.00
Fractional positions:
1 Nb 0.161 0.161 0.500
2 Nb 0.661 0.339 0.000
3 Nb 0.339 0.661 0.000
4 Nb 0.839 0.839 0.500
5 Ag 0.825 0.825 0.000
6 Ag 0.325 0.675 0.500
7 Ag 0.675 0.325 0.500
8 Ag 0.175 0.175 0.000

Here is crystalline Ta3AlRu at its relaxed geometry from Alexandria via LeMat-Bulk. Energies are from PBE.

Values from the calculation:
crystal system: cubic
M_tot: 0.00 μB/atom
electronic total energy: -43.52 eV per formula unit

Lattice parameters (Å, degrees): 4.780 4.780 4.780 90.00 90.00 90.00
Fractional positions:
1 Ta 0.500 0.000 0.000
2 Ta 0.000 0.500 0.000
3 Ta 0.000 0.000 0.500
4 Ru 0.000 0.000 0.000
5 Al 0.500 0.500 0.500

Here is crystalline SmAlH at its relaxed geometry from Alexandria via LeMat-Bulk. Energies are from PBE.

Values from the calculation:
crystal system: tetragonal
M_tot: 0.00 μB/atom
electronic total energy: -11.90 eV per formula unit

Lattice parameters (Å, degrees): 3.172 3.172 6.069 105.15 105.15 90.00
Fractional positions:
1 Al 0.325 0.325 0.650
2 Sm 0.609 0.609 0.218
3 H 0.066 0.066 0.132

Here is crystalline Gd2YIr at its relaxed geometry from Alexandria via LeMat-Bulk. Energies are from PBE.

Values from the calculation:
crystal system: tetragonal
M_tot: 3.78 μB/atom
electronic total energy: -44.91 eV per formula unit

Lattice parameters (Å, degrees): 3.536 3.536 8.777 90.00 90.00 90.00
Last column: magnetic moment on the atom in μB.
Fractional positions:
1 Gd 0.000 0.000 0.814  -7.08
2 Gd 0.000 0.000 0.186  -7.08
3 Y 0.500 0.500 0.500  -0.29
4 Ir 0.500 0.500 0.000  0.05

Here is crystalline SnIO2F at its relaxed geometry from Alexandria via LeMat-Bulk. Energies are from PBE.

Values from the calculation:
crystal system: tetragonal
M_tot: 0.00 μB/atom
raw formation energy: -355 meV/atom

Lattice parameters (Å, degrees): 4.078 4.078 5.794 90.00 90.00 90.00
Fractional positions:
1 Sn 0.500 0.500 0.500
2 O 0.500 0.000 0.000
3 O 0.000 0.500 0.000
4 I 0.000 0.000 0.000
5 F 0.000 0.000 0.500

Here is crystalline MgNbP at its relaxed geometry from Alexandria via LeMat-Bulk. Energies are from PBE.

Values from the calculation:
crystal system: tetragonal
M_tot: 0.00 μB/atom
electronic total energy: -18.67 eV per formula unit

Lattice parameters (Å, degrees): 4.028 4.028 6.589 90.00 90.00 90.00
Fractional positions:
1 Nb 0.000 0.000 0.500
2 Nb 0.500 0.500 0.500
3 P 0.000 0.500 0.240
4 P 0.500 0.000 0.760
5 Mg 0.500 0.000 0.151
6 Mg 0.000 0.500 0.849

Here is crystalline KNaTeH6O6 at its relaxed geometry from Alexandria via LeMat-Bulk. Energies are from PBE.

Values from the calculation:
crystal system: trigonal
M_tot: 0.00 μB/atom
electronic total energy: -74.13 eV per formula unit

Lattice parameters (Å, degrees): 6.758 6.758 8.874 90.00 90.00 120.00
Fractional positions:
1 K 0.333 0.667 0.785
2 K 0.667 0.333 0.285
3 O 0.828 0.116 0.865
4 O 0.522 0.529 0.053
5 O 0.172 0.288 0.365
6 O 0.712 0.884 0.365
7 O 0.994 0.471 0.553
8 O 0.884 0.712 0.865
9 O 0.471 0.994 0.053
10 O 0.478 0.006 0.553
11 O 0.529 0.522 0.553
12 O 0.288 0.172 0.865
13 O 0.006 0.478 0.053
14 O 0.116 0.828 0.365
15 H 0.612 0.662 0.489
16 H 0.050 0.388 0.489
17 H 0.388 0.050 0.989
18 H 0.338 0.950 0.489
19 H 0.580 0.970 0.493
20 H 0.610 0.030 0.993
21 H 0.420 0.390 0.993
22 H 0.030 0.610 0.493
23 H 0.950 0.338 0.989
24 H 0.970 0.580 0.993
25 H 0.662 0.612 0.989
26 H 0.390 0.420 0.493
27 Te 0.000 0.000 0.770
28 Te 0.000 0.000 0.270
29 Na 0.333 0.667 0.214
30 Na 0.667 0.333 0.714

Here is crystalline La5SmCd3 at its relaxed geometry from Alexandria via LeMat-Bulk. Energies are from PBE.

Values from the calculation:
crystal system: hexagonal
M_tot: 0.00 μB/atom
electronic total energy: -33.69 eV per formula unit

Lattice parameters (Å, degrees): 7.183 9.628 9.628 120.00 90.00 90.00
Fractional positions:
1 Cd 0.750 0.000 0.674
2 Cd 0.750 0.674 0.000
3 Cd 0.250 0.000 0.326
4 Cd 0.750 0.326 0.326
5 Cd 0.250 0.326 0.000
6 Cd 0.250 0.674 0.674
7 La 0.500 0.667 0.333
8 La 0.750 0.663 0.663
9 La 0.500 0.333 0.667
10 La 0.000 0.667 0.333
11 La 0.250 0.337 0.337
12 La 0.250 0.663 0.000
13 La 0.250 0.000 0.663
14 La 0.750 0.000 0.337
15 La 0.750 0.337 0.000
16 La 0.000 0.333 0.667
17 Sm 0.000 0.000 0.000
18 Sm 0.500 0.000 0.000

Here is crystalline TiCo3Pd at its relaxed geometry from Alexandria via LeMat-Bulk. Energies are from PBE.

Values from the calculation:
crystal system: cubic
M_tot: 0.54 μB/atom
electronic total energy: -29.54 eV per formula unit

Lattice parameters (Å, degrees): 4.217 4.217 4.217 90.00 90.00 90.00
Last column: magnetic moment on the atom in μB.
Fractional positions:
1 Co 0.000 0.500 0.000  0.93
2 Co 0.000 0.000 0.500  0.84
3 Co 0.500 0.000 0.000  1.13
4 Ti 0.000 0.000 0.000  -0.34
5 Pd 0.500 0.500 0.500  0.15